[1]
DFT (PBE-GGA) results for crystalline ReSi2Tc2 at its relaxed geometry.

a = 3.291 Å, b = 3.291 Å, c = 7.141 Å
α = 76.68°, β = 76.68°, γ = 90.00°
Positions (direct):
Re 0.000 0.000 0.000
Si 0.750 0.250 0.500
Si 0.250 0.750 0.500
Tc 0.387 0.387 0.225
Tc 0.613 0.613 0.775

Results
density = 9.96 Mg/m³
energy above the lowest structure with this stoichiometry = 0.3364 eV per atom
space group = I4/mmm (139)
size of the total moment = 0.0 μB per cell
calculated volume = 73 Å³/f.u.
E_form (uncorrected) = 170 meV per atom

***

[2]
DFT (PBE-GGA) results for crystalline ReSi2Tc at its relaxed geometry.

a = 4.591 Å, b = 4.591 Å, c = 4.363 Å
α = 73.77°, β = 73.77°, γ = 38.05°
Positions (direct):
Re 0.254 0.254 0.194
Si 0.001 0.001 0.035
Si 0.750 0.750 0.714
Tc 0.495 0.495 0.557

Results
density = 10.44 Mg/m³
energy above the lowest structure with this stoichiometry = 0.0606 eV per atom
space group = Cm (8)
size of the total moment = 0.0 μB per cell
calculated volume = 54 Å³/f.u.
E_form (uncorrected) = -323 meV per atom

***

[3]
DFT (PBE-GGA) results for crystalline ReSi2Tc2 at its relaxed geometry.

a = 6.836 Å, b = 6.836 Å, c = 2.927 Å
α = 90.00°, β = 90.00°, γ = 90.00°
Positions (direct):
Re 0.000 0.000 0.000
Re 0.500 0.500 0.000
Si 0.360 0.860 0.000
Si 0.860 0.640 0.000
Si 0.640 0.140 0.000
Si 0.140 0.360 0.000
Tc 0.158 0.658 0.500
Tc 0.658 0.842 0.500
Tc 0.842 0.342 0.500
Tc 0.342 0.158 0.500

Results
density = 10.65 Mg/m³
energy above the lowest structure with this stoichiometry = 0.0000 eV per atom
space group = P4/mbm (127)
size of the total moment = 0.0 μB per cell
calculated volume = 68 Å³/f.u.
E_form (uncorrected) = -166 meV per atom

***

Question: What is the formula in the first record?
Answer: ReSi2Tc2